Entry from the Alexandria database: a relaxed SrBeFe2 crystal (PBE-GGA).

Cell: 3.1037 3.1037 6.9286 Å, 90.00 90.00 90.00°
Positions (direct):
Sr  0.0000  0.0000  0.0000
Be  0.5000  0.5000  0.3362
Fe  0.0000  0.0000  0.4862
Fe  0.5000  0.5000  0.6525

ΔH_f (0 K)   174 kJ/mol of formula units


Entry from the Alexandria database: a relaxed Sr4BeFe crystal (PBE-GGA).

Cell: 6.9310 6.9310 6.9310 Å, 60.00 60.00 60.00°
Positions (direct):
Sr  0.1254  0.1254  0.1254
Sr  0.1254  0.1254  0.6239
Sr  0.1254  0.6239  0.1254
Sr  0.6239  0.1254  0.1254
Be  0.7500  0.7500  0.7500
Fe  0.5000  0.5000  0.5000

ΔH_f (0 K)   734 kJ/mol of formula units


Entry from the Alexandria database: a relaxed SrBe2Fe crystal (PBE-GGA).

Cell: 2.9995 2.9995 6.7318 Å, 90.00 90.00 90.00°
Positions (direct):
Sr  0.0000  0.0000  0.0000
Be  0.5000  0.5000  0.3474
Be  0.5000  0.5000  0.6526
Fe  0.0000  0.0000  0.5000

ΔH_f (0 K)   151 kJ/mol of formula units


Entry from the Alexandria database: a relaxed SrBeFe3 crystal (PBE-GGA).

Cell: 4.6979 4.6979 4.6979 Å, 90.00 90.00 90.00°
Positions (direct):
Sr  0.0000  0.0000  0.0000
Be  0.5000  0.5000  0.5000
Fe  0.0000  0.0000  0.5000
Fe  0.0000  0.5000  0.0000
Fe  0.5000  0.0000  0.0000

ΔH_f (0 K)   1232 kJ/mol of formula units


What is the formula in the third record? SrBe2Fe


What is the ΔH_f (0 K) in the third record? 151 kJ/mol of formula units